# BeTePI2

A geometry-optimized BeTePI2 structure (GGA-PBE, Alexandria via LeMat-Bulk).

Summary:
Energy above the lowest structure with this stoichiometry, eV per atom: 0.000
DOS(E_F), states/eV per atom: 0.899
Uncorrected formation energy, meV/atom: 714

Cell lengths 5.019, 5.019, 5.241 Å; angles 90.00, 90.00, 90.00 degrees
Space group P4/mmm (No. 123)
Inequivalent atoms, fractional coordinates:
Be 0.000 0.000 0.000
Te 0.000 0.000 0.500
P 0.500 0.500 0.500
I 0.000 0.500 0.000